# 1
{
  "formula": "LiSi2Hg",
  "functional": "PBE-GGA",
  "state": "relaxed",
  "lattice_angstrom": [[-0.656, 0.522, -2.937], [1.051, -2.829, -0.470], [-7.211, -2.861, 1.102]],
  "species": ["Hg", "Li", "Si", "Si"],
  "fractional_positions": [[0.000, 0.000, 0.516], [0.500, 0.500, 0.781], [0.000, 0.000, 0.013], [0.500, 0.500, 0.190]],
  "spacegroup": "Cmm2 (35)",
  "crystal_system": "orthorhombic",
  "formation_energy_uncorrected_ev_per_atom": 0.165
}



# 2
{
  "formula": "P2IO2",
  "functional": "PBE-GGA",
  "state": "relaxed",
  "lattice_angstrom": [[3.907, 0.000, 0.000], [0.000, 3.907, 0.000], [0.000, 0.000, 5.800]],
  "species": ["I", "P", "P", "O", "O"],
  "fractional_positions": [[0.000, 0.000, 0.000], [0.500, 0.500, 0.500], [0.000, 0.000, 0.500], [0.000, 0.500, 0.000], [0.500, 0.000, 0.000]],
  "spacegroup": "P4/mmm (123)",
  "crystal_system": "tetragonal",
  "formation_energy_uncorrected_ev_per_atom": 0.554
}



# 3
{
  "formula": "CrIn4Rh",
  "functional": "PBE-GGA",
  "state": "relaxed",
  "lattice_angstrom": [[4.779, -3.107, -0.707], [-0.137, -5.692, 0.756], [0.502, -3.510, -4.519]],
  "species": ["Cr", "In", "In", "In", "In", "Rh"],
  "fractional_positions": [[0.000, 0.000, 0.000], [0.874, 0.375, 0.375], [0.375, 0.375, 0.874], [0.375, 0.874, 0.375], [0.375, 0.375, 0.375], [0.750, 0.750, 0.750]],
  "spacegroup": "F-43m (216)",
  "crystal_system": "cubic",
  "delta_e_f_ev_per_atom": 0.61
}



# 4
{
  "formula": "Na2ZrIrPd",
  "functional": "PBE-GGA",
  "state": "relaxed",
  "lattice_angstrom": [[-1.736, 4.664, -1.520], [-2.773, 0.284, 4.038], [3.926, 2.288, 2.535]],
  "species": ["Na", "Na", "Ir", "Zr", "Pd"],
  "fractional_positions": [[0.000, 0.000, 0.500], [0.500, 0.000, 0.000], [0.000, 0.000, 0.000], [0.000, 0.500, 0.000], [0.500, 0.500, 0.500]],
  "spacegroup": "P4/mmm (123)",
  "crystal_system": "tetragonal",
  "delta_e_f_ev_per_atom": 0.67
}



no.,DOS(E_F) (states/eV/f.u.),electronic total energy (eV per atom),theoretical density (g cm⁻³)
1,1.121,-3.100,6.0
2,2.264,-3.903,4.1
3,3.952,-4.043,7.6
4,4.030,-4.374,5.4